First-principles (GGA-PBEsol) data for a geometry-optimized PPtRh2 structure, as listed in Alexandria.

Cell lengths 2.7267, 4.7195, 8.6612 Å; angles 90.00, 90.00, 90.00 degrees
With the nearest neighbours (Å) after each atom.
Space group Cmm2 (No. 35)
Unique sites:
P 0.0000 0.0000 0.0000 (multiplicity 2)  2 Rh 2.34, 2 Pt 2.52
Pt 0.0000 0.5000 0.7555 (multiplicity 2)  2 P 2.52, 2 Rh 2.71, 6 Pt 2.73
Rh 0.0000 0.0000 0.4854 (multiplicity 2)  8 Rh 2.68-2.73, 2 Pt 2.71
Rh 0.0000 0.5000 0.2192 (multiplicity 2)  2 P 2.34

Results
Fermi-level density of states (states/eV/cell): 9.598
Raw total energy (eV/atom): -7.1358
Magnetic moment (Bohr magnetons per cell): 0.00